[1]
Density functional theory data (SCAN) for a PBEsol-optimized structure of Mg2BeNi.

Formation enthalpy at 0 K: -0.119 eV/atom
N(E_F): 0.362 states/eV per atom
VASP energy: -0.2843 hartree per atom
Space group: No. 99

abc: 2.9017 2.9017 6.8240
angles: 90.00 90.00 90.00
Closest atoms and distances in Å follow each position.
Atoms (fractional coordinates):
Ni  0.0000  0.0000  0.5616  4 Be 2.21
Mg  0.0000  0.0000  0.9500  1 Ni 2.65, 4 Be 2.75, 4 Mg 2.90
Mg  0.5000  0.5000  0.3062  1 Be 2.57, 4 Ni 2.69
Be  0.5000  0.5000  0.6822  4 Ni 2.21

[2]
Density functional theory data (SCAN) for a PBEsol-optimized structure of TaNiSb2.

E_form (uncorrected): 11.24 kJ per mole of atoms
N(E_F): 0.763 states/eV per atom
VASP energy: -1.4407 hartree per atom
Space group: No. 99

abc: 3.6037 3.6037 5.6961
angles: 90.00 90.00 90.00
Closest atoms and distances in Å follow each position.
Atoms (fractional coordinates):
Ni  0.5000  0.5000  0.7814  6 Sb 2.72-2.91
Sb  0.0000  0.0000  0.9466  1 Ta 2.66, 4 Ni 2.72
Sb  0.5000  0.5000  0.2927  4 Ta 2.76, 2 Ni 2.78-2.91
Ta  0.0000  0.0000  0.4793  5 Sb 2.66-2.76

[3]
Density functional theory data (SCAN) for a PBEsol-optimized structure of CaZn2Cu.

Formation enthalpy at 0 K: -0.094 eV/atom
N(E_F): 0.480 states/eV per atom
VASP energy: -0.4802 hartree per atom
Space group: No. 123

abc: 3.1687 3.1610 6.8526
angles: 90.00 90.00 90.00
Closest atoms and distances in Å follow each position.
Atoms (fractional coordinates):
Ca  0.5000  0.5000  0.0000  8 Zn 3.09, 4 Ca 3.16-3.17, 2 Cu 3.43
Cu  0.5000  0.5000  0.5000  8 Zn 2.59
Zn  0.0000  0.0000  0.6895  4 Cu 2.59, 1 Zn 2.60
Zn  0.0000  0.0000  0.3105  4 Cu 2.59, 1 Zn 2.60

[4]
Density functional theory data (SCAN) for a PBEsol-optimized structure of Fe3PbAu.

Formation enthalpy at 0 K: 0.899 eV/atom
N(E_F): 1.231 states/eV per atom
VASP energy: -1.4320 hartree per atom
Space group: No. 221

abc: 4.7010 4.7010 4.7010
angles: 90.00 90.00 90.00
Closest atoms and distances in Å follow each position.
Atoms (fractional coordinates):
Pb  0.5000  0.5000  0.5000  12 Fe 3.32
Au  0.0000  0.0000  0.0000  6 Fe 2.35
Fe  0.0000  0.5000  0.0000  2 Au 2.35
Fe  0.0000  0.0000  0.5000  2 Au 2.35
Fe  0.5000  0.0000  0.0000  2 Au 2.35

[5]
Density functional theory data (SCAN) for a PBEsol-optimized structure of LiCa2Zn.

Formation enthalpy at 0 K: -0.093 eV/atom
N(E_F): 0.700 states/eV per atom
VASP energy: -0.3271 hartree per atom
Space group: No. 99

abc: 3.6449 3.6449 7.9392
angles: 90.00 90.00 90.00
Closest atoms and distances in Å follow each position.
Atoms (fractional coordinates):
Zn  0.5000  0.5000  0.7053  4 Li 2.82, 4 Ca 3.15
Ca  0.0000  0.0000  0.9340  1 Li 2.97, 4 Zn 3.15
Ca  0.5000  0.5000  0.3003  1 Zn 3.22, 4 Li 3.30
Li  0.0000  0.0000  0.5604  4 Zn 2.82, 1 Ca 2.97

[6]
Density functional theory data (SCAN) for a PBEsol-optimized structure of ScMn2.

Formation enthalpy at 0 K: 0.142 eV/atom
N(E_F): 1.323 states/eV per atom
VASP energy: -0.6164 hartree per atom
Space group: No. 139

abc: 2.8195 2.8195 5.4999
angles: 104.85 104.85 90.00
Closest atoms and distances in Å follow each position.
Atoms (fractional coordinates):
Mn  0.6974  0.6974  0.3948  4 Mn 2.27
Mn  0.3026  0.3026  0.6052  4 Mn 2.27
Sc  0.0000  0.0000  0.0000  4 Sc 2.82, 10 Mn 2.84-3.10

[7]
Density functional theory data (SCAN) for a PBEsol-optimized structure of Li2YCdOs.

Formation enthalpy at 0 K: 1.290 eV/atom
N(E_F): 0.637 states/eV per atom
VASP energy: -0.9442 hartree per atom
Space group: No. 123

abc: 4.7588 5.0831 5.0831
angles: 90.00 90.00 90.00
Closest atoms and distances in Å follow each position.
Atoms (fractional coordinates):
Y  0.0000  0.0000  0.0000  2 Os 2.38, 4 Li 2.54
Li  0.0000  0.0000  0.5000  2 Y 2.54
Li  0.0000  0.5000  0.0000  2 Y 2.54
Os  0.5000  0.0000  0.0000  2 Y 2.38
Cd  0.5000  0.5000  0.5000  8 Li 3.48, 4 Os 3.59

[8]
Density functional theory data (SCAN) for a PBEsol-optimized structure of NiI3Cl.

E_form (uncorrected): 100.93 kJ per mole of atoms
N(E_F): 2.812 states/eV per atom
VASP energy: -0.9492 hartree per atom
Space group: No. 221

abc: 5.5731 5.5731 5.5731
angles: 90.00 90.00 90.00
Closest atoms and distances in Å follow each position.
Atoms (fractional coordinates):
I  0.0000  0.5000  0.0000  2 Cl 2.79
I  0.0000  0.0000  0.5000  2 Cl 2.79
I  0.5000  0.0000  0.0000  2 Cl 2.79
Ni  0.5000  0.5000  0.5000  12 I 3.94
Cl  0.0000  0.0000  0.0000  6 I 2.79